# 1
The following is a PBEsol calculation of an optimized crystal structure of CoHgSe2, from Alexandria via LeMat-Bulk.

Structure (POSCAR):
```
CoHgSe2
1.0
3.4364 0.0000 0.0000
0.0000 4.2363 0.0000
0.0000 0.0000 5.1744
Co Hg Se
1 1 2
direct
0.0000 0.0000 0.0000
0.5000 0.5000 0.0000
0.0000 0.0000 0.5000
0.5000 0.5000 0.5000
```

Output
* electronic total energy: -14.2 eV per cell
* total moment: 1.44 μB per formula unit
* uncorrected formation energy: 463 meV/atom
* crystal system: orthorhombic

# 2
The following is a PBEsol calculation of an optimized crystal structure of CoHg3Se, from Alexandria via LeMat-Bulk.

Structure (POSCAR):
```
CoHg3Se
1.0
4.9035 0.0000 0.0000
0.0000 4.9035 0.0000
0.0000 0.0000 4.9035
Co Hg Se
1 3 1
direct
0.0000 0.0000 0.0000
0.0000 0.0000 0.5000
0.0000 0.5000 0.0000
0.5000 0.0000 0.0000
0.5000 0.5000 0.5000
```

Output
* electronic total energy: -10.4 eV per cell
* total moment: 1.70 μB per formula unit
* uncorrected formation energy: 568 meV/atom
* crystal system: cubic

# 3
The following is a PBEsol calculation of an optimized crystal structure of CoHgSe2, from Alexandria via LeMat-Bulk.

Structure (POSCAR):
```
CoHgSe2
1.0
3.0998 -1.6699 0.0000
3.0998 1.6699 0.0000
-0.9591 0.0000 7.5006
Co Hg Se
1 1 2
direct
0.0000 0.0000 0.0000
0.5000 0.5000 0.5000
0.2990 0.2990 0.8362
0.7010 0.7010 0.1638
```

Output
* electronic total energy: -16.9 eV per cell
* total moment: 0.00 μB per formula unit
* uncorrected formation energy: -221 meV/atom
* crystal system: monoclinic

# 4
The following is a PBEsol calculation of an optimized crystal structure of CoHgSe2, from Alexandria via LeMat-Bulk.

Structure (POSCAR):
```
CoHgSe2
1.0
4.5793 0.0000 0.0000
0.0000 4.5793 0.0000
0.0000 0.0000 3.4431
Co Hg Se
1 1 2
direct
0.0000 0.0000 0.0000
0.5000 0.5000 0.0000
0.0000 0.5000 0.5000
0.5000 0.0000 0.5000
```

Output
* electronic total energy: -13.7 eV per cell
* total moment: 1.63 μB per formula unit
* uncorrected formation energy: 576 meV/atom
* crystal system: tetragonal

# 5
The following is a PBEsol calculation of an optimized crystal structure of Zn2CoHgSe, from Alexandria via LeMat-Bulk.

Structure (POSCAR):
```
Zn2CoHgSe
1.0
4.8092 0.0000 0.0000
0.0000 4.8092 0.0000
0.0000 0.0000 4.8954
Zn Co Hg Se
2 1 1 1
direct
0.0000 0.5000 0.0000
0.5000 0.0000 0.0000
0.0000 0.0000 0.5000
0.0000 0.0000 0.0000
0.5000 0.5000 0.5000
```

Output
* electronic total energy: -10.7 eV per cell
* total moment: 2.18 μB per formula unit
* uncorrected formation energy: 917 meV/atom
* crystal system: tetragonal

# 6
The following is a PBEsol calculation of an optimized crystal structure of Co2Si2Hg, from Alexandria via LeMat-Bulk.

Structure (POSCAR):
```
Co2Si2Hg
1.0
-1.7456 1.7456 5.4272
1.7456 -1.7456 5.4272
1.7456 1.7456 -5.4272
Co Si Hg
2 2 1
direct
0.1159 0.1159 0.0000
0.8841 0.8841 0.0000
0.2500 0.7500 0.5000
0.7500 0.2500 0.5000
0.5000 0.5000 0.0000
```

Output
* electronic total energy: -28.9 eV per cell
* total moment: 0.00 μB per formula unit
* uncorrected formation energy: -264 meV/atom
* crystal system: tetragonal